Record 1
The following is a DFT calculation (PBE with a Hubbard U) of PaCrHg2O8 after structural relaxation.

abc: 6.4529 6.4529 9.7080
angles: 90.00 90.00 90.00
Last column: nearest neighbours and their distance in Å.
Space group I-4m2 (No. 119)
Unique sites:
Pa 0.0000 0.0000 0.0000  4 O 1.99
Cr 0.0000 0.5000 0.7500  4 O 1.68
Hg 0.0000 0.0000 0.5000  4 O 2.36
Hg 0.0000 0.5000 0.2500  4 O 2.13
O 0.0000 0.2796 0.0872  1 Pa 1.99, 1 Hg 2.13
O 0.0000 0.2820 0.6553  1 Cr 1.68

Results
D(E_F) = 0.270 states/eV/atom
M_tot = 0.0000 μB/atom
total DFT energy (no corrections) = -71.23 eV/f.u.
ρ = 6.673 g/cm³

---

Record 2
The following is a DFT calculation (PBE with a Hubbard U) of Pa2CrHgO8 after structural relaxation.

abc: 6.1639 6.1639 5.6156
angles: 90.00 90.00 120.00
Last column: nearest neighbours and their distance in Å.
Space group P-3 (No. 147)
Unique sites:
Pa 0.3333 0.6667 0.4150  1 O 1.91
Cr 0.0000 0.0000 0.0000  6 O 2.79, 2 Hg 2.81
Hg 0.0000 0.0000 0.5000  6 O 2.29
O 0.0545 0.3621 0.6707  1 Hg 2.29, 2 Pa 2.31-2.36
O 0.3333 0.6667 0.0744  1 Pa 1.91

Results
D(E_F) = 0.878 states/eV/atom
M_tot = 0.1649 μB/atom
total DFT energy (no corrections) = -86.66 eV/f.u.
ρ = 7.573 g/cm³

---

Record 3
The following is a DFT calculation (PBE with a Hubbard U) of Cr2HgPbO8 after structural relaxation.

abc: 5.2325 5.2325 21.8862
angles: 90.00 90.00 120.00
Last column: nearest neighbours and their distance in Å.
Space group R-3 (No. 148, hexagonal axes)
Unique sites:
Cr 0.0000 0.0000 0.2463  4 O 1.66-1.67
Hg 0.0000 0.0000 0.0000  6 O 2.38
Pb 0.0000 0.0000 0.5000  12 O 2.83-3.02
O 0.0000 0.0000 0.1706  1 Cr 1.66
O 0.0160 0.6416 0.9357  1 Cr 1.67

Results
D(E_F) = 0.000 states/eV/atom
M_tot = 0.0000 μB/atom
total DFT energy (no corrections) = -70.71 eV/f.u.
ρ = 6.141 g/cm³

---

Record 4
The following is a DFT calculation (PBE with a Hubbard U) of CrHgPb2O6 after structural relaxation.

abc: 6.5951 7.3578 8.1014
angles: 92.36 94.04 109.05
Last column: nearest neighbours and their distance in Å.
Space group P-1 (No. 2)
Unique sites:
Cr 0.1887 0.2563 0.1568  4 O 1.67-1.68
Hg 0.1767 0.1987 0.6367  2 O 2.02-2.05
Pb 0.2765 0.7484 0.1435  3 O 2.25-2.49
Pb 0.3351 0.7691 0.6021  4 O 2.31-2.57
O 0.0423 0.8421 0.7582  1 Cr 1.67
O 0.0946 0.7292 0.3710  1 Hg 2.02, 1 Pb 2.25
O 0.1339 0.3328 0.9735  1 Cr 1.67
O 0.3232 0.0980 0.1402  1 Cr 1.68
O 0.3451 0.4466 0.2772  1 Cr 1.67
O 0.4416 0.1128 0.6277  1 Hg 2.05

Results
D(E_F) = 0.000 states/eV/atom
M_tot = 0.0000 μB/atom
total DFT energy (no corrections) = -55.95 eV/f.u.
ρ = 6.852 g/cm³